Record 1
RbZn: relaxed, GGA-PBE.

Space-group type: Pm
Volume in Å³/cell: 479
Electronic total energy in eV per atom: -0.93

Unit cell a=8.965 b=6.196 c=9.073 alpha=90.00 beta=108.03 gamma=90.00
Element x y z (fractional)
Rb (0.000, 0.000, 0.000)
Rb (0.077, 0.500, 0.412)
Rb (0.448, 0.000, 0.088)
Rb (0.525, 0.500, 0.499)
Rb (0.692, 0.500, 0.976)
Rb (0.832, 0.000, 0.522)
Zn (0.220, 0.500, 0.074)
Zn (0.238, 0.000, 0.688)
Zn (0.286, 0.500, 0.811)
Zn (0.306, 0.000, 0.426)
Zn (0.532, 0.000, 0.717)
Zn (0.992, 0.500, 0.782)


Record 2
DyHfSn: relaxed, GGA-PBE.

Space-group type: F-43m
Volume in Å³/cell: 91
Electronic total energy in eV per atom: -5.55
Excess energy over the best structure of this formula in the dataset in meV per atom: 1163

Unit cell a=5.040 b=5.040 c=5.040 alpha=60.00 beta=60.00 gamma=60.00
Element x y z (fractional)
Dy (0.000, 0.000, 0.000)
Hf (0.750, 0.750, 0.750)
Sn (0.250, 0.250, 0.250)


Record 3
TbCuB4: relaxed, GGA-PBE.

Space-group type: Immm
Volume in Å³/cell: 64
Electronic total energy in eV per atom: -5.92
Excess energy over the best structure of this formula in the dataset in meV per atom: 32

Unit cell a=4.934 b=4.934 c=4.934 alpha=142.67 beta=115.17 gamma=77.27
Element x y z (fractional)
Tb (0.000, 0.000, 0.000)
Cu (0.500, 0.500, 0.000)
B (0.062, 0.740, 0.321)
B (0.419, 0.740, 0.679)
B (0.581, 0.260, 0.321)
B (0.938, 0.260, 0.679)


Record 4
TaFeCoSi: relaxed, GGA-PBE.

Space-group type: F-43m
Volume in Å³/cell: 52
Electronic total energy in eV per atom: -8.26
Excess energy over the best structure of this formula in the dataset in meV per atom: 322

Unit cell a=4.183 b=4.183 c=4.183 alpha=60.00 beta=60.00 gamma=60.00
Element x y z (fractional)
Ta (0.000, 0.000, 0.000)
Fe (0.500, 0.500, 0.500)
Co (0.750, 0.750, 0.750)
Si (0.250, 0.250, 0.250)


Record 5
HfHg2Sb: relaxed, GGA-PBE.

Space-group type: F-43m
Volume in Å³/cell: 94
Electronic total energy in eV per atom: -3.49

Unit cell a=5.098 b=5.098 c=5.098 alpha=60.00 beta=60.00 gamma=60.00
Element x y z (fractional)
Hf (0.000, 0.000, 0.000)
Hg (0.250, 0.250, 0.250)
Hg (0.500, 0.500, 0.500)
Sb (0.750, 0.750, 0.750)


Record 6
SrReB4: relaxed, GGA-PBE.

Space-group type: Immm
Volume in Å³/cell: 63
Electronic total energy in eV per atom: -6.53
Excess energy over the best structure of this formula in the dataset in meV per atom: 223

Unit cell a=4.854 b=4.854 c=4.854 alpha=142.41 beta=110.80 gamma=81.52
Element x y z (fractional)
Sr (0.000, 0.000, 0.000)
Re (0.500, 0.500, 0.000)
B (0.101, 0.758, 0.343)
B (0.415, 0.758, 0.657)
B (0.585, 0.242, 0.343)
B (0.899, 0.242, 0.657)


Record 7
RbHo: relaxed, GGA-PBE.

Space-group type: F-43m
Volume in Å³/cell: 179
Electronic total energy in eV per atom: -0.91

Unit cell a=6.331 b=6.331 c=6.331 alpha=60.00 beta=60.00 gamma=60.00
Element x y z (fractional)
Rb (0.000, 0.000, 0.000)
Ho (0.250, 0.250, 0.250)


Record 8
YZrGe: relaxed, GGA-PBE.

Space-group type: I4/mmm
Volume in Å³/cell: 138
Electronic total energy in eV per atom: -7.26

Unit cell a=8.527 b=8.527 c=8.527 alpha=151.81 beta=151.81 gamma=40.29
Element x y z (fractional)
Y (0.177, 0.177, 0.000)
Y (0.823, 0.823, 0.000)
Zr (0.000, 0.500, 0.500)
Zr (0.500, 0.000, 0.500)
Ge (0.368, 0.368, 0.000)
Ge (0.632, 0.632, 0.000)